(1)
Below is IrPt2Rh after structural relaxation, with properties calculated at the PBE-GGA level.

abc: 2.7749 2.7749 26.9507
angles: 90.00 90.00 120.00
Space group R-3m (No. 166, hexagonal axes)
Inequivalent atoms, fractional coordinates:
Ir: 0.0000 0.0000 0.0000 x3
Pt: 0.0000 0.0000 0.2500 x6
Rh: 0.0000 0.0000 0.5000 x3

Values from the calculation:
E_tot: -7.04 eV per atom

---

(2)
Below is IrPt2Rh after structural relaxation, with properties calculated at the PBE-GGA level.

abc: 2.774 2.774 7.797
angles: 90.00 90.00 90.00
Space group P4/mmm (No. 123)
Inequivalent atoms, fractional coordinates:
Ir: 0.000 0.000 0.000 x1
Pt: 0.500 0.500 0.249 x2
Rh: 0.000 0.000 0.500 x1

Values from the calculation:
E_tot: -7.04 eV per atom

---

(3)
Below is Ir2PtRh after structural relaxation, with properties calculated at the PBE-GGA level.

abc: 3.883 3.883 7.789
angles: 90.00 90.00 90.00
Space group I-4m2 (No. 119)
Inequivalent atoms, fractional coordinates:
Ir: 0.000 0.000 0.000 x2
Ir: 0.000 0.500 0.250 x2
Pt: 0.000 0.500 0.750 x2
Rh: 0.000 0.000 0.500 x2

Values from the calculation:
E_tot: -7.76 eV per atom

---

(4)
Below is IrPt2Rh after structural relaxation, with properties calculated at the PBE-GGA level.

abc: 7.003 7.003 5.408
angles: 90.00 90.00 90.00
Space group I-42d (No. 122)
Inequivalent atoms, fractional coordinates:
Ir: 0.000 0.000 0.000 x4
Pt: 0.245 0.250 0.125 x8
Rh: 0.000 0.000 0.500 x4

Values from the calculation:
E_tot: -6.59 eV per atom

---

(5)
Below is Ir5PtRh4 after structural relaxation, with properties calculated at the PBE-GGA level.

abc: 2.738 2.738 19.322
angles: 90.00 90.00 90.00
Space group P4/mmm (No. 123)
Inequivalent atoms, fractional coordinates:
Ir: 0.000 0.000 0.000 x1
Ir: 0.000 0.000 0.199 x2
Ir: 0.000 0.000 0.396 x2
Pt: 0.500 0.500 0.500 x1
Rh: 0.500 0.500 0.099 x2
Rh: 0.500 0.500 0.298 x2

Values from the calculation:
E_tot: -7.96 eV per atom

---

(6)
Below is Ir3Pt2Rh5 after structural relaxation, with properties calculated at the PBE-GGA level.

abc: 10.177 12.472 5.066
angles: 90.00 90.00 90.00
Space group Ibam (No. 72)
Inequivalent atoms, fractional coordinates:
Ir: 0.000 0.000 0.250 x4
Ir: 0.131 0.350 0.000 x8
Pt: 0.127 0.263 0.500 x8
Rh: 0.000 0.500 0.250 x4
Rh: 0.117 0.153 0.000 x8
Rh: 0.248 0.000 0.250 x8

Values from the calculation:
E_tot: -7.15 eV per atom

---

(7)
Below is Ir5PtRh4 after structural relaxation, with properties calculated at the PBE-GGA level.

abc: 14.235 2.736 7.734
angles: 90.00 105.77 90.00
Space group C2/m (No. 12)
Inequivalent atoms, fractional coordinates:
Ir: 0.000 0.000 0.000 x2
Ir: 0.102 0.500 0.296 x4
Ir: 0.200 0.000 0.099 x4
Pt: 0.000 0.000 0.500 x2
Rh: 0.101 0.500 0.805 x4
Rh: 0.201 0.000 0.601 x4

Values from the calculation:
E_tot: -7.99 eV per atom

---

(8)
Below is Ir2RuPtRh after structural relaxation, with properties calculated at the PBE-GGA level.

abc: 5.087 12.489 5.084
angles: 90.00 90.00 90.00
Space group Cmcm (No. 63)
Inequivalent atoms, fractional coordinates:
Ir: 0.249 0.000 0.000 x8
Ru: 0.000 0.349 0.250 x4
Pt: 0.000 0.250 0.750 x4
Rh: 0.000 0.154 0.250 x4

Values from the calculation:
E_tot: -7.66 eV per atom

---

(9)
Below is Ir2Ru2PtRh2 after structural relaxation, with properties calculated at the PBE-GGA level.

abc: 14.340 2.711 5.687
angles: 90.00 95.46 90.00
Space group C2/m (No. 12)
Inequivalent atoms, fractional coordinates:
Ir: 0.070 0.000 0.397 x4
Ru: 0.197 0.500 0.624 x4
Pt: 0.000 0.500 0.000 x2
Rh: 0.170 0.000 0.017 x4

Values from the calculation:
E_tot: -7.85 eV per atom

---

(10)
Below is IrRuPtRh after structural relaxation, with properties calculated at the PBE-GGA level.

abc: 2.738 3.867 5.498
angles: 90.00 90.05 90.00
Space group Pm (No. 6)
Inequivalent atoms, fractional coordinates:
Ir: 0.000 0.000 0.000 x1
Ru: 0.499 0.500 0.765 x1
Pt: 0.499 0.500 0.262 x1
Rh: 0.998 0.000 0.518 x1

Values from the calculation:
E_tot: -7.90 eV per atom

---

(11)
Below is IrRuPtRh2 after structural relaxation, with properties calculated at the PBE-GGA level.

abc: 3.565 3.565 12.601
angles: 90.00 90.00 90.00
Space group I4mm (No. 107)
Inequivalent atoms, fractional coordinates:
Ir: 0.000 0.000 0.000 x2
Ru: 0.000 0.000 0.423 x2
Pt: 0.000 0.000 0.618 x2
Rh: 0.000 0.500 0.277 x4

Values from the calculation:
E_tot: -7.26 eV per atom

---

(12)
Below is IrRuPt3Rh after structural relaxation, with properties calculated at the PBE-GGA level.

abc: 6.208 3.897 7.805
angles: 90.00 108.46 90.00
Space group P2_1/m (No. 11)
Inequivalent atoms, fractional coordinates:
Ir: 0.004 0.250 0.372 x2
Ru: 0.002 0.750 0.121 x2
Pt: 0.324 0.750 0.958 x2
Pt: 0.326 0.250 0.708 x2
Pt: 0.327 0.750 0.454 x2
Rh: 0.317 0.250 0.202 x2

Values from the calculation:
E_tot: -7.27 eV per atom

---

What did the eighth record say?
Below is Ir2RuPtRh after structural relaxation, with properties calculated at the PBE-GGA level.

abc: 5.087 12.489 5.084
angles: 90.00 90.00 90.00
Space group Cmcm (No. 63)
Inequivalent atoms, fractional coordinates:
Ir: 0.249 0.000 0.000 x8
Ru: 0.000 0.349 0.250 x4
Pt: 0.000 0.250 0.750 x4
Rh: 0.000 0.154 0.250 x4

Values from the calculation:
E_tot: -7.66 eV per atom

---

Look up the E_tot of the second one. -7.04 eV per atom